1.
# Ce6Hg2C

A relaxed Ce6Hg2C crystal (PBE-GGA, the Alexandria database).

Lattice parameters (Å, degrees): 7.1803 7.1803 10.9599 90.00 90.00 90.00
Last column: nearest neighbours and their distance in Å.
Positions (direct):
Ce 0.3068 0.3068 0.3681  1 C 2.44
Ce 0.6932 0.6932 0.3681  1 C 2.44
Ce 0.1932 0.8068 0.8681  1 C 2.44
Ce 0.8068 0.1932 0.8681  1 C 2.44
Ce 0.1932 0.8068 0.1319  1 C 2.44
Ce 0.8068 0.1932 0.1319  1 C 2.44
Ce 0.3068 0.3068 0.6319  1 C 2.44
Ce 0.6932 0.6932 0.6319  1 C 2.44
Ce 0.2392 0.2392 0.0000  1 C 2.43
Ce 0.7608 0.7608 0.0000  1 C 2.43
Ce 0.2608 0.7392 0.5000  1 C 2.43
Ce 0.7392 0.2608 0.5000  1 C 2.43
Hg 0.0000 0.0000 0.3539  6 Ce 3.10-3.12, 1 Hg 3.20
Hg 0.5000 0.5000 0.8539  6 Ce 3.10-3.12, 1 Hg 3.20
Hg 0.5000 0.5000 0.1461  6 Ce 3.10-3.12, 1 Hg 3.20
Hg 0.0000 0.0000 0.6461  6 Ce 3.10-3.12, 1 Hg 3.20
C 0.0000 0.0000 0.0000  6 Ce 2.43-2.44
C 0.5000 0.5000 0.5000  6 Ce 2.43-2.44

Calculated values
- Energy of formation: 129 meV/atom
- Energy above the most stable polymorph in this dataset: 0.305 eV per atom

=====

2.
# Pm4ErCd3

A relaxed Pm4ErCd3 crystal (PBE-GGA, the Alexandria database).

Lattice parameters (Å, degrees): 3.7851 5.5127 11.1488 90.00 90.00 90.00
Last column: nearest neighbours and their distance in Å.
Positions (direct):
Cd 0.5000 0.0000 0.2463  8 Pm 3.33-3.40
Cd 0.5000 0.5000 0.5000  8 Pm 3.27-3.34
Cd 0.5000 0.0000 0.7537  8 Pm 3.33-3.40
Er 0.5000 0.5000 0.0000  8 Pm 3.34-3.47
Pm 0.0000 0.0000 0.5000  8 Cd 3.34-3.40
Pm 0.0000 0.5000 0.7389  6 Cd 3.27-3.35, 2 Er 3.47
Pm 0.0000 0.0000 0.0000  4 Cd 3.33, 4 Er 3.34
Pm 0.0000 0.5000 0.2611  6 Cd 3.27-3.35, 2 Er 3.47

Calculated values
- Energy of formation: -192 meV/atom

=====

3.
# CaZrTiN3

A relaxed CaZrTiN3 crystal (PBE-GGA, the Alexandria database).

Lattice parameters (Å, degrees): 3.4097 6.7703 8.9184 107.09 90.00 90.00
Last column: nearest neighbours and their distance in Å.
Positions (direct):
Ca 0.7500 0.8200 0.8597  5 N 2.46-2.52
Ca 0.2500 0.1800 0.1403  5 N 2.46-2.52
Zr 0.2500 0.6568 0.1364  6 N 2.18-2.40
Zr 0.7500 0.3432 0.8636  6 N 2.18-2.40
Ti 0.2500 0.0612 0.6214  4 N 1.94-2.07
Ti 0.7500 0.9388 0.3786  4 N 1.94-2.07
N 0.2500 0.8235 0.4124  3 Ti 1.94-2.07
N 0.7500 0.9116 0.1531  1 Ti 1.97
N 0.7500 0.4332 0.1194  3 Zr 2.18-2.26
N 0.7500 0.1765 0.5876  3 Ti 1.94-2.07
N 0.2500 0.5668 0.8806  3 Zr 2.18-2.26
N 0.2500 0.0884 0.8469  1 Ti 1.97

Calculated values
- Final energy: -8.48 eV per atom

=====

4.
# ZrSnGePd2

A relaxed ZrSnGePd2 crystal (PBE-GGA, the Alexandria database).

Lattice parameters (Å, degrees): 4.6324 5.0978 4.6324 90.00 90.00 90.00
Last column: nearest neighbours and their distance in Å.
Positions (direct):
Zr 0.0000 0.5000 0.0000  2 Ge 2.55
Ge 0.0000 0.0000 0.0000  4 Pd 2.32, 2 Zr 2.55
Sn 0.5000 0.5000 0.5000  4 Zr 3.28, 8 Pd 3.44
Pd 0.0000 0.0000 0.5000  2 Ge 2.32
Pd 0.5000 0.0000 0.0000  2 Ge 2.32

Calculated values
- Energy of formation: -46 meV/atom

=====

5.
# AcPrSm2Bi4

A relaxed AcPrSm2Bi4 crystal (PBE-GGA, the Alexandria database).

Lattice parameters (Å, degrees): 4.6648 8.0717 8.0773 70.55 90.00 90.00
Last column: nearest neighbours and their distance in Å.
Positions (direct):
Ac 0.0000 0.5000 0.5000  6 Bi 3.37-3.38
Pr 0.5000 0.5000 0.0000  6 Bi 3.32
Sm 0.0000 0.0000 0.0000  6 Bi 3.22
Sm 0.5000 0.0000 0.5000  6 Bi 3.27-3.28
Bi 0.0000 0.7592 0.7524  3 Sm 3.22-3.28, 2 Pr 3.32, 1 Ac 3.37
Bi 0.0000 0.2408 0.2476  3 Sm 3.22-3.28, 2 Pr 3.32, 1 Ac 3.37
Bi 0.5000 0.7637 0.2400  3 Sm 3.22-3.27, 1 Pr 3.32, 2 Ac 3.38
Bi 0.5000 0.2363 0.7600  3 Sm 3.22-3.27, 1 Pr 3.32, 2 Ac 3.38

Calculated values
- Energy of formation: -940 meV/atom

=====

6.
# KF11

A relaxed KF11 crystal (PBE-GGA, the Alexandria database).

Lattice parameters (Å, degrees): 9.5506 7.8522 7.8522 68.29 52.54 52.54
Last column: nearest neighbours and their distance in Å.
Positions (direct):
K 0.5000 0.0000 0.0000  16 F 2.90-3.06
K 0.2500 0.5000 0.5000  16 F 2.90-3.06
F 0.4285 0.7655 0.4018  1 F 1.47
F 0.5958 0.2345 0.5982  1 F 1.47
F 0.0000 0.0000 0.0000  4 F 2.51
F 0.7500 0.5000 0.5000  4 F 2.51
F 0.3750 0.7500 0.7500  6 F 2.43-2.51
F 0.8750 0.7500 0.2500  6 F 2.43-2.51
F 0.8750 0.2500 0.7500  6 F 2.43-2.51
F 0.8750 0.2500 0.2500  6 F 2.43-2.51
F 0.4285 0.4018 0.7655  1 F 1.47
F 0.9440 0.7345 0.9018  1 F 1.47
F 0.5803 0.2655 0.0982  1 F 1.47
F 0.5958 0.5982 0.2345  1 F 1.47
F 0.8060 0.5982 0.7655  1 F 1.47
F 0.1697 0.4018 0.2345  1 F 1.47
F 0.1542 0.2655 0.9018  1 F 1.47
F 0.3215 0.7345 0.0982  1 F 1.47
F 0.3215 0.0982 0.7345  1 F 1.47
F 0.8060 0.7655 0.5982  1 F 1.47
F 0.1697 0.2345 0.4018  1 F 1.47
F 0.1542 0.9018 0.2655  1 F 1.47
F 0.9440 0.9018 0.7345  1 F 1.47
F 0.5803 0.0982 0.2655  1 F 1.47

Calculated values
- Final energy: -2.07 eV per atom

=====

7.
# Mn2VBiI

A relaxed Mn2VBiI crystal (PBE-GGA, the Alexandria database).

Lattice parameters (Å, degrees): 4.8646 6.1394 4.8646 90.00 90.00 90.00
Last column: nearest neighbours and their distance in Å.
Positions (direct):
I 0.0000 0.0000 0.0000  4 Mn 2.43
Mn 0.0000 0.0000 0.5000  2 I 2.43
Mn 0.5000 0.0000 0.0000  2 I 2.43
Bi 0.0000 0.5000 0.0000  2 I 3.07
V 0.5000 0.5000 0.5000  4 Bi 3.44

Calculated values
- Final energy: -5.04 eV per atom

=====

8.
# In4Se3S2

A relaxed In4Se3S2 crystal (PBE-GGA, the Alexandria database).

Lattice parameters (Å, degrees): 7.0704 11.9666 8.9225 144.01 76.55 132.16
Last column: nearest neighbours and their distance in Å.
Positions (direct):
In 0.2938 0.6016 0.7065  5 Se 2.81-2.91, 1 S 2.82
In 0.7062 0.3984 0.2935  5 Se 2.81-2.91, 1 S 2.82
In 0.1113 0.2066 0.8890  3 S 2.63-2.68, 2 Se 2.93
In 0.8887 0.7934 0.1110  3 S 2.63-2.68, 2 Se 2.93
Se 0.4005 0.8066 0.5995  5 In 2.81-2.93
Se 0.0000 0.0000 0.0000  6 In 2.90-2.95
Se 0.5995 0.1934 0.4005  5 In 2.81-2.93
S 0.2267 0.3855 0.7727  4 In 2.63-2.82
S 0.7733 0.6145 0.2273  4 In 2.63-2.82

Calculated values
- Energy above the most stable polymorph in this dataset: 0.000 eV per atom

=====

9.
# K2CdSn

A relaxed K2CdSn crystal (PBE-GGA, the Alexandria database).

Lattice parameters (Å, degrees): 6.5156 6.9668 6.9668 103.75 90.00 90.00
Last column: nearest neighbours and their distance in Å.
Positions (direct):
K 0.2500 0.3131 0.9757  4 Sn 3.73-3.85, 5 K 3.81-4.10, 4 Cd 3.96-4.12
K 0.7500 0.0243 0.6869  4 Sn 3.73-3.85, 5 K 3.81-4.10, 4 Cd 3.96-4.12
K 0.2500 0.9652 0.3233  4 Sn 3.73-3.85, 5 K 3.81-4.10, 4 Cd 3.96-4.12
K 0.7500 0.6767 0.0348  4 Sn 3.73-3.85, 5 K 3.81-4.10, 4 Cd 3.96-4.12
Sn 0.2500 0.7627 0.7728  2 Cd 2.82
Sn 0.7500 0.2272 0.2373  2 Cd 2.82
Cd 0.0000 0.4949 0.5051  2 Sn 2.82
Cd 0.5000 0.4949 0.5051  2 Sn 2.82

Calculated values
- Energy of formation: -230 meV/atom

=====

10.
# Ac3GaPd9Pb2

A relaxed Ac3GaPd9Pb2 crystal (PBE-GGA, the Alexandria database).

Lattice parameters (Å, degrees): 6.9363 6.9363 9.2231 90.00 90.00 120.00
Last column: nearest neighbours and their distance in Å.
Positions (direct):
Ac 0.3333 0.6667 0.7251  9 Pd 3.23-3.50
Ac 0.0000 0.0000 0.0000  12 Pd 3.10-3.47
Ac 0.6667 0.3333 0.2749  9 Pd 3.23-3.50
Ga 0.0000 0.0000 0.5000  6 Pd 2.48
Pd 0.8704 0.1296 0.7096  1 Ga 2.48, 1 Pb 2.58, 2 Pd 2.70
Pd 0.8704 0.7409 0.7096  1 Ga 2.48, 1 Pb 2.58, 2 Pd 2.70
Pd 0.2591 0.1296 0.7096  1 Ga 2.48, 1 Pb 2.58, 2 Pd 2.70
Pd 0.7409 0.8704 0.2904  1 Ga 2.48, 1 Pb 2.58, 2 Pd 2.70
Pd 0.1296 0.2591 0.2904  1 Ga 2.48, 1 Pb 2.58, 2 Pd 2.70
Pd 0.1296 0.8704 0.2904  1 Ga 2.48, 1 Pb 2.58, 2 Pd 2.70
Pd 0.5000 0.0000 0.0000  2 Pb 2.74
Pd 0.0000 0.5000 0.0000  2 Pb 2.74
Pd 0.5000 0.5000 0.0000  2 Pb 2.74
Pb 0.3333 0.6667 0.2028  6 Pd 2.58-2.74
Pb 0.6667 0.3333 0.7972  6 Pd 2.58-2.74

Calculated values
- Energy of formation: -439 meV/atom

=====

11.
# TbGdHgAu

A relaxed TbGdHgAu crystal (PBE-GGA, the Alexandria database).

Lattice parameters (Å, degrees): 5.2085 5.2085 5.2085 60.00 60.00 60.00
Last column: nearest neighbours and their distance in Å.
Positions (direct):
Tb 0.7500 0.7500 0.7500  4 Hg 3.19, 4 Au 3.19
Gd 0.2500 0.2500 0.2500  4 Hg 3.19, 4 Au 3.19
Au 0.0000 0.0000 0.0000  4 Tb 3.19, 4 Gd 3.19
Hg 0.5000 0.5000 0.5000  4 Gd 3.19, 4 Tb 3.19

Calculated values
- Energy of formation: -653 meV/atom

=====

no.,total moment (μB/cell),ρ (g/cm3)
1,8.81,7.37
2,0.08,7.74
3,0.00,3.73
4,0.00,7.52
5,0.00,8.71
6,4.00,2.22
7,3.91,5.68
8,0.00,5.48
9,0.00,3.34
10,0.00,9.17
11,7.18,11.86